(1)
Compound: Er2Al2PdPt3
Source: OQMD
Functional: PBE-GGA
Structure: optimized geometry

Uncorrected energy   -49.204 eV for the cell shown

Cell: 4.3376 4.3376 9.1277 Å, 90.00 90.00 120.00°
Space group P3m1 (No. 156)
Symmetry-distinct sites (fractional):
Er (0.0000, 0.0000, 0.0000) (multiplicity 1)
Er (0.3333, 0.6667, 0.5034) (multiplicity 1)
Al (0.6667, 0.3333, 0.2442) (multiplicity 1)
Al (0.6667, 0.3333, 0.7500) (multiplicity 1)
Pd (0.0000, 0.0000, 0.3366) (multiplicity 1)
Pt (0.0000, 0.0000, 0.6642) (multiplicity 1)
Pt (0.3333, 0.6667, 0.1710) (multiplicity 1)
Pt (0.3333, 0.6667, 0.8358) (multiplicity 1)

=====

(2)
Compound: ErScAl4Pd2
Source: OQMD
Functional: PBE-GGA
Structure: optimized geometry

Uncorrected energy   -85.003 eV for the cell shown

Cell: 6.8515 4.2467 9.9368 Å, 90.00 90.00 90.00°
Space group Amm2 (No. 38)
Symmetry-distinct sites (fractional):
Er (0.0000, 0.0000, 0.0000) (multiplicity 2)
Sc (0.5000, 0.0000, 0.8541) (multiplicity 2)
Al (0.2028, 0.0000, 0.2903) (multiplicity 4)
Al (0.3055, 0.0000, 0.5670) (multiplicity 4)
Pd (0.0000, 0.0000, 0.7172) (multiplicity 2)
Pd (0.5000, 0.0000, 0.1352) (multiplicity 2)

=====

no.,theoretical density (Mg/m³)
1,12.1
2,6.1